# 1
{
  "formula": "RbCr2Br",
  "functional": "PBE",
  "state": "optimized geometry",
  "relative_energy_ev_per_atom": 0.0000,
  "raw_formation_energy_ev_per_atom": 0.721,
  "dos_at_fermi_per_ev_atom": 0.231,
  "lattice": [[-4.3832, -1.9723, -2.9404], [3.3745, -0.9106, -4.4195], [1.3724, -10.5452, -0.3712]],
  "species": ["Br", "Br", "Cr", "Cr", "Cr", "Cr", "Rb", "Rb"],
  "fractional_positions": [[0.2500, 0.7500, 0.5000], [0.5000, 0.5000, 0.0000], [0.3750, 0.1250, 0.2500], [0.8750, 0.6250, 0.7500], [0.3750, 0.6250, 0.7500], [0.3750, 0.6250, 0.2500], [0.7500, 0.2500, 0.5000], [0.0000, 0.0000, 0.0000]]
}

# 2
{
  "formula": "OsBrOF2",
  "functional": "PBE",
  "state": "optimized geometry",
  "relative_energy_ev_per_atom": 1.5318,
  "raw_formation_energy_ev_per_atom": 1.047,
  "dos_at_fermi_per_ev_atom": 1.314,
  "lattice": [[4.9517, 0.0000, 0.0000], [0.0000, 4.9517, 0.0000], [0.0000, 0.0000, 3.6301]],
  "species": ["F", "F", "O", "Br", "Os"],
  "fractional_positions": [[0.0000, 0.5000, 0.0000], [0.5000, 0.0000, 0.0000], [0.0000, 0.0000, 0.5000], [0.0000, 0.0000, 0.0000], [0.5000, 0.5000, 0.5000]]
}

# 3
{
  "formula": "Ti12Si6Ni",
  "functional": "PBE",
  "state": "optimized geometry",
  "raw_formation_energy_ev_per_atom": -0.178,
  "dos_at_fermi_per_ev_atom": 0.826,
  "lattice": [[7.1507, -0.1462, -0.1751], [-1.2285, 7.0459, -0.1751], [-1.2285, -1.4313, 6.9012]],
  "species": ["Ti", "Ti", "Ti", "Ti", "Ti", "Ti", "Ti", "Ti", "Ti", "Ti", "Ti", "Ti", "Si", "Si", "Si", "Si", "Si", "Si", "Ni"],
  "fractional_positions": [[0.4129, 0.5535, 0.1800], [0.1800, 0.4129, 0.5535], [0.4465, 0.8200, 0.5871], [0.9670, 0.3244, 0.0491], [0.0491, 0.9670, 0.3244], [0.5535, 0.1800, 0.4129], [0.0330, 0.6756, 0.9509], [0.9509, 0.0330, 0.6756], [0.3244, 0.0491, 0.9670], [0.8200, 0.5871, 0.4465], [0.5871, 0.4465, 0.8200], [0.6756, 0.9509, 0.0330], [0.3648, 0.6821, 0.8680], [0.1320, 0.6352, 0.3179], [0.8680, 0.3648, 0.6821], [0.3179, 0.1320, 0.6352], [0.6352, 0.3179, 0.1320], [0.6821, 0.8680, 0.3648], [0.0000, 0.0000, 0.0000]]
}

# 4
{
  "formula": "V4GeTe5",
  "functional": "PBE",
  "state": "optimized geometry",
  "raw_formation_energy_ev_per_atom": -0.144,
  "dos_at_fermi_per_ev_atom": 0.912,
  "lattice": [[-3.0604, 0.5847, 1.6806], [-3.9265, -3.2965, -6.0032], [3.0711, -6.7726, 4.2204]],
  "species": ["Ge", "V", "V", "V", "V", "Te", "Te", "Te", "Te", "Te"],
  "fractional_positions": [[0.5000, 0.0000, 0.0000], [0.3536, 0.9181, 0.7073], [0.9980, 0.2295, 0.9960], [0.0020, 0.7705, 0.0040], [0.6464, 0.0819, 0.2927], [0.1750, 0.8438, 0.3501], [0.8357, 0.6575, 0.6715], [0.5000, 0.5000, 0.0000], [0.8250, 0.1562, 0.6499], [0.1643, 0.3425, 0.3285]]
}

# 5
{
  "formula": "PrY2ScTe6",
  "functional": "PBE",
  "state": "optimized geometry",
  "raw_formation_energy_ev_per_atom": -1.323,
  "lattice": [[7.6834, 0.0000, 0.0003], [3.8416, 6.6540, 0.0000], [3.8414, 2.2181, 7.0004]],
  "species": ["Y", "Y", "Te", "Te", "Te", "Te", "Te", "Te", "Pr", "Sc"],
  "fractional_positions": [[0.0077, 0.0078, 0.9768], [0.5115, 0.5115, 0.4655], [0.2362, 0.9317, 0.2444], [0.1158, 0.4047, 0.7596], [0.4047, 0.7198, 0.7597], [0.5876, 0.2362, 0.2444], [0.9317, 0.5876, 0.2444], [0.7198, 0.1158, 0.7597], [0.8210, 0.8210, 0.5370], [0.3254, 0.3254, 0.0237]]
}

# 6
{
  "formula": "LaHf2PbAu",
  "functional": "PBE",
  "state": "optimized geometry",
  "delta_e_f_ev_per_atom": 0.27,
  "dos_at_fermi_per_ev_atom": 0.664,
  "lattice": [[5.1934, 0.0000, 0.0000], [0.0000, 5.7201, 0.0000], [0.0000, 0.0000, 5.1934]],
  "species": ["Hf", "Hf", "Pb", "La", "Au"],
  "fractional_positions": [[0.5000, 0.0000, 0.0000], [0.0000, 0.0000, 0.5000], [0.5000, 0.5000, 0.5000], [0.0000, 0.5000, 0.0000], [0.0000, 0.0000, 0.0000]]
}

# 7
{
  "formula": "Pr2Dy5Y3",
  "functional": "PBE",
  "state": "optimized geometry",
  "delta_e_f_ev_per_atom": 0.20,
  "dos_at_fermi_per_ev_atom": 1.841,
  "lattice": [[8.4336, 1.5593, -3.9178], [0.2583, 8.5458, -4.0012], [-1.7287, -1.9077, 10.8451]],
  "species": ["Pr", "Pr", "Pr", "Pr", "Dy", "Dy", "Dy", "Dy", "Dy", "Dy", "Dy", "Dy", "Dy", "Dy", "Y", "Y", "Y", "Y", "Y", "Y"],
  "fractional_positions": [[0.4731, 0.7253, 0.7465], [0.7734, 0.0212, 0.7465], [0.5269, 0.2747, 0.2535], [0.2266, 0.9788, 0.2535], [0.6247, 0.8697, 0.2518], [0.1271, 0.3821, 0.2518], [0.0246, 0.7746, 0.5492], [0.7247, 0.4747, 0.9494], [0.9754, 0.2254, 0.4508], [0.2753, 0.5253, 0.0506], [0.3753, 0.1303, 0.7482], [0.8729, 0.6179, 0.7482], [0.5238, 0.2738, 0.5476], [0.4762, 0.7262, 0.4524], [0.2718, 0.5248, 0.7496], [0.7282, 0.4752, 0.2504], [0.2284, 0.9784, 0.9568], [0.9778, 0.2248, 0.7496], [0.0222, 0.7752, 0.2504], [0.7716, 0.0216, 0.0432]]
}

# 8
{
  "formula": "YHf2Tl",
  "functional": "PBE",
  "state": "optimized geometry",
  "delta_e_f_ev_per_atom": 0.52,
  "relative_energy_ev_per_atom": 0.2182,
  "dos_at_fermi_per_ev_atom": 1.373,
  "lattice": [[8.3729, 0.0000, 0.0000], [0.0000, 8.3729, 0.0000], [4.1865, 4.1865, 3.0183]],
  "species": ["Hf", "Hf", "Hf", "Hf", "Tl", "Tl", "Y", "Y"],
  "fractional_positions": [[0.8750, 0.9008, 0.7500], [0.0992, 0.6250, 0.2500], [0.6508, 0.1250, 0.2500], [0.3750, 0.3492, 0.7500], [0.7500, 0.2500, 0.5000], [0.0000, 0.0000, 0.0000], [0.5000, 0.5000, 0.0000], [0.2500, 0.7500, 0.5000]]
}

# 9
{
  "formula": "Zr2NpAg2Te6",
  "functional": "PBE",
  "state": "optimized geometry",
  "raw_formation_energy_ev_per_atom": -0.546,
  "dos_at_fermi_per_ev_atom": 1.053,
  "lattice": [[-2.1146, 6.7955, 1.7939], [-2.2237, -5.7722, 3.9503], [6.3728, 0.5577, 3.5725]],
  "species": ["Te", "Te", "Te", "Te", "Te", "Te", "Zr", "Zr", "Ag", "Ag", "Np"],
  "fractional_positions": [[0.6810, 0.6810, 0.7534], [0.0240, 0.3872, 0.7326], [0.6128, 0.9760, 0.2674], [0.3190, 0.3190, 0.2466], [0.3872, 0.0240, 0.7326], [0.9760, 0.6128, 0.2674], [0.6562, 0.3438, 0.5000], [0.3438, 0.6562, 0.5000], [0.8905, 0.1095, 0.0000], [0.1095, 0.8905, 0.0000], [0.0000, 0.0000, 0.5000]]
}

# 10
{
  "formula": "TeBrO2F",
  "functional": "PBE",
  "state": "optimized geometry",
  "raw_formation_energy_ev_per_atom": -0.419,
  "dos_at_fermi_per_ev_atom": 0.525,
  "lattice": [[4.1878, 0.0000, 0.0000], [0.0000, 4.1878, 0.0000], [0.0000, 0.0000, 4.4302]],
  "species": ["Br", "F", "O", "O", "Te"],
  "fractional_positions": [[0.5000, 0.5000, 0.5000], [0.0000, 0.0000, 0.5000], [0.0000, 0.5000, 0.0000], [0.5000, 0.0000, 0.0000], [0.0000, 0.0000, 0.0000]]
}

# 11
{
  "formula": "BSb2TeW",
  "functional": "PBE",
  "state": "optimized geometry",
  "relative_energy_ev_per_atom": 0.1806,
  "raw_formation_energy_ev_per_atom": 1.518,
  "dos_at_fermi_per_ev_atom": 1.152,
  "lattice": [[-4.4930, 1.9028, 1.9996], [-2.6133, -1.7023, -4.2519], [-0.8847, -4.5927, 2.3825]],
  "species": ["Te", "Sb", "Sb", "W", "B"],
  "fractional_positions": [[0.0000, 0.0000, 0.5000], [0.0000, 0.5000, 0.0000], [0.5000, 0.0000, 0.0000], [0.0000, 0.0000, 0.0000], [0.5000, 0.5000, 0.5000]]
}

# 12
{
  "formula": "Ag3GeH",
  "functional": "PBE",
  "state": "optimized geometry",
  "relative_energy_ev_per_atom": 0.5975,
  "dos_at_fermi_per_ev_atom": 0.573,
  "lattice": [[-4.6370, 1.7747, -0.2880], [-0.4389, -0.3450, 4.9419], [1.7435, 4.6331, 0.4783]],
  "species": ["Ag", "Ag", "Ag", "Ge", "H"],
  "fractional_positions": [[0.5000, 0.0000, 0.0000], [0.0000, 0.0000, 0.5000], [0.0000, 0.5000, 0.0000], [0.0000, 0.0000, 0.0000], [0.5000, 0.5000, 0.5000]]
}

# 13
{
  "formula": "Sr2LaMnOs",
  "functional": "PBE",
  "state": "optimized geometry",
  "delta_e_f_ev_per_atom": 1.24,
  "dos_at_fermi_per_ev_atom": 2.137,
  "lattice": [[-1.3650, -5.3137, -0.1172], [2.8850, -0.8304, 4.0475], [-4.2873, 1.0293, 3.2670]],
  "species": ["La", "Os", "Mn", "Sr", "Sr"],
  "fractional_positions": [[0.0000, 0.5000, 0.0000], [0.5000, 0.5000, 0.5000], [0.0000, 0.0000, 0.0000], [0.5000, 0.0000, 0.0000], [0.0000, 0.0000, 0.5000]]
}

# 14
{
  "formula": "PuAlFe2",
  "functional": "PBE",
  "state": "optimized geometry",
  "delta_e_f_ev_per_atom": 0.03,
  "dos_at_fermi_per_ev_atom": 1.531,
  "lattice": [[3.2664, 0.0000, 0.0000], [0.0000, 4.9567, 0.5078], [0.0000, -0.3609, 8.0282]],
  "species": ["Fe", "Fe", "Fe", "Fe", "Pu", "Pu", "Al", "Al"],
  "fractional_positions": [[0.7500, 0.6321, 0.4286], [0.7500, 0.1454, 0.0660], [0.2500, 0.3679, 0.5714], [0.2500, 0.8546, 0.9340], [0.7500, 0.3577, 0.8084], [0.2500, 0.6423, 0.1916], [0.2500, 0.8677, 0.6181], [0.7500, 0.1323, 0.3819]]
}

# 15
{
  "formula": "Dy2Th2Ir2Pt",
  "functional": "PBE",
  "state": "optimized geometry",
  "delta_e_f_ev_per_atom": -0.84,
  "dos_at_fermi_per_ev_atom": 0.760,
  "lattice": [[-1.7236, 0.4929, 3.3953], [4.6513, -2.8093, 4.9437], [5.7528, 4.7004, 2.2378]],
  "species": ["Dy", "Dy", "Pt", "Th", "Th", "Ir", "Ir"],
  "fractional_positions": [[0.2172, 0.5656, 0.2937], [0.7828, 0.4344, 0.7063], [0.0000, 0.0000, 0.0000], [0.4652, 0.0694, 0.2499], [0.5348, 0.9306, 0.7501], [0.1149, 0.7699, 0.5508], [0.8851, 0.2301, 0.4492]]
}

# 16
{
  "formula": "RbSe4",
  "functional": "PBE",
  "state": "optimized geometry",
  "relative_energy_ev_per_atom": 0.0000,
  "raw_formation_energy_ev_per_atom": -0.369,
  "dos_at_fermi_per_ev_atom": 0.334,
  "lattice": [[-2.8791, 2.1710, -4.2883], [4.3659, -0.9217, -3.1697], [-3.0464, -5.4302, 2.1151]],
  "species": ["Se", "Se", "Se", "Se", "Rb"],
  "fractional_positions": [[0.7859, 0.2699, 0.5565], [0.2198, 0.3553, 0.7002], [0.7802, 0.6447, 0.2998], [0.2141, 0.7301, 0.4435], [0.0000, 0.0000, 0.0000]]
}

# 17
{
  "formula": "La3AuO",
  "functional": "PBE",
  "state": "optimized geometry",
  "relative_energy_ev_per_atom": 0.0781,
  "raw_formation_energy_ev_per_atom": -1.382,
  "dos_at_fermi_per_ev_atom": 0.974,
  "lattice": [[-1.5660, 3.9133, -2.7072], [-2.9022, 1.4731, 3.8083], [3.7710, 2.7589, 1.8066]],
  "species": ["La", "La", "La", "O", "Au"],
  "fractional_positions": [[0.0000, 0.0000, 0.5000], [0.5000, 0.0000, 0.0000], [0.0000, 0.5000, 0.0000], [0.0000, 0.0000, 0.0000], [0.5000, 0.5000, 0.5000]]
}

# 18
{
  "formula": "Mg8Rh2Pb3",
  "functional": "PBE",
  "state": "optimized geometry",
  "delta_e_f_ev_per_atom": -0.18,
  "dos_at_fermi_per_ev_atom": 0.219,
  "lattice": [[4.5552, 0.0000, 0.0000], [0.0000, 7.7006, -4.2044], [0.0000, -0.1947, 8.7977]],
  "species": ["Mg", "Mg", "Mg", "Mg", "Mg", "Mg", "Mg", "Mg", "Rh", "Rh", "Pb", "Pb", "Pb"],
  "fractional_positions": [[0.0000, 0.8609, 0.7219], [0.5000, 0.4217, 0.3041], [0.0000, 0.1391, 0.2781], [0.5000, 0.1176, 0.6959], [0.0000, 0.6734, 0.3468], [0.5000, 0.8824, 0.3041], [0.5000, 0.5783, 0.6959], [0.0000, 0.3266, 0.6532], [0.5000, 0.2326, 0.4653], [0.5000, 0.7674, 0.5347], [0.0000, 0.6969, 0.0000], [0.5000, 0.0000, 0.0000], [0.0000, 0.3031, 0.0000]]
}

# 19
{
  "formula": "PaInPb2O8",
  "functional": "PBE",
  "state": "optimized geometry",
  "raw_formation_energy_ev_per_atom": -1.589,
  "lattice": [[6.1951, 0.4697, 0.0000], [-2.3267, 5.7607, 0.0000], [-1.9342, -3.1152, 5.0154]],
  "species": ["O", "O", "O", "O", "O", "O", "O", "O", "Pb", "Pb", "In", "Pa"],
  "fractional_positions": [[0.9602, 0.2663, 0.3061], [0.2804, 0.4708, 0.1905], [0.2804, 0.0899, 0.8095], [0.9602, 0.6541, 0.6939], [0.9101, 0.7196, 0.1905], [0.7337, 0.0398, 0.6939], [0.5292, 0.7196, 0.8095], [0.3459, 0.0398, 0.3061], [0.5000, 0.5000, 0.0000], [0.7500, 0.2500, 0.5000], [0.2500, 0.7500, 0.5000], [0.0000, 0.0000, 0.0000]]
}

# 20
{
  "formula": "LaMg5Ge2",
  "functional": "PBE",
  "state": "optimized geometry",
  "delta_e_f_ev_per_atom": -0.32,
  "dos_at_fermi_per_ev_atom": 0.381,
  "lattice": [[4.0634, 0.0000, 1.3451], [1.5135, 6.4108, 2.2378], [-0.0455, -0.3563, 6.9475]],
  "species": ["Mg", "Mg", "Mg", "Mg", "Mg", "Ge", "Ge", "La"],
  "fractional_positions": [[0.6526, 0.5311, 0.1637], [0.3474, 0.8363, 0.4689], [0.3474, 0.4689, 0.8363], [0.0000, 0.5000, 0.5000], [0.6526, 0.1637, 0.5311], [0.2694, 0.2306, 0.2306], [0.7306, 0.7694, 0.7694], [0.0000, 0.0000, 0.0000]]
}